Below is a relaxed structure of RbBeBMo2, with properties calculated at the PBE level.

Results
Energy of formation in meV/atom: 3740

Cell and atoms, written as CIF:
```
data_RbBeBMo2
_symmetry_space_group_name_H-M 'P 4/m m m'
_symmetry_Int_Tables_number 123
_symmetry_space_group_name_Hall '-P 4 2'
_cell_length_a 4.8034
_cell_length_b 4.8034
_cell_length_c 4.3139
_cell_angle_alpha 90.00
_cell_angle_beta 90.00
_cell_angle_gamma 90.00
loop_
_atom_site_label
_atom_site_type_symbol
_atom_site_fract_x
_atom_site_fract_y
_atom_site_fract_z
Rb1 Rb 0.0000 0.0000 0.0000
Be1 Be 0.5000 0.5000 0.5000
B1 B 0.0000 0.0000 0.5000
Mo1 Mo 0.0000 0.5000 0.0000
```